VASP calculation (PBE) on an optimized crystal structure of Be4AlIn.

Calculated values
Space-group type   No. 216

Cell: 4.6757 4.6757 4.6757 Å, 60.00 60.00 60.00°
Closest atoms and distances in Å follow each position.
Sites, in units of the cell vectors:
Be 0.3776 0.3776 0.3776  6 Be 2.29-2.39
Be 0.3776 0.3776 0.8672  6 Be 2.29-2.39
Be 0.3776 0.8672 0.3776  6 Be 2.29-2.39
Be 0.8672 0.3776 0.3776  6 Be 2.29-2.39
Al 0.7500 0.7500 0.7500  12 Be 2.74, 4 In 2.86
In 0.0000 0.0000 0.0000  12 Be 2.75, 4 Al 2.86

=====

VASP calculation (PBE) on an optimized crystal structure of DyAl4Pd2.

Calculated values
Space-group type   No. 136
Energy above the most stable polymorph in this dataset   0.0 meV/atom

Cell: 7.7552 7.7552 4.1282 Å, 90.00 90.00 90.00°
Closest atoms and distances in Å follow each position.
Sites, in units of the cell vectors:
Dy 0.0000 0.0000 0.0000  6 Pd 3.08-3.17, 8 Al 3.39
Dy 0.5000 0.5000 0.5000  6 Pd 3.08-3.17, 8 Al 3.39
Al 0.0853 0.3361 0.5000  3 Pd 2.53-2.60, 1 Al 2.75
Al 0.1639 0.5853 0.0000  3 Pd 2.53-2.60, 1 Al 2.75
Al 0.3361 0.0853 0.5000  3 Pd 2.53-2.60, 1 Al 2.75
Al 0.4147 0.8361 0.0000  3 Pd 2.53-2.60, 1 Al 2.75
Al 0.5853 0.1639 0.0000  3 Pd 2.53-2.60, 1 Al 2.75
Al 0.6639 0.9147 0.5000  3 Pd 2.53-2.60, 1 Al 2.75
Al 0.8361 0.4147 0.0000  3 Pd 2.53-2.60, 1 Al 2.75
Al 0.9147 0.6639 0.5000  3 Pd 2.53-2.60, 1 Al 2.75
Pd 0.2195 0.7805 0.5000  6 Al 2.53-2.60
Pd 0.2805 0.2805 0.0000  6 Al 2.53-2.60
Pd 0.7195 0.7195 0.0000  6 Al 2.53-2.60
Pd 0.7805 0.2195 0.5000  6 Al 2.53-2.60

=====

VASP calculation (PBE) on an optimized crystal structure of Pm2HfAl.

Calculated values
Space-group type   No. 123
Energy above the most stable polymorph in this dataset   25.7 meV/atom

Cell: 3.4075 3.4075 9.1176 Å, 90.00 90.00 90.00°
Closest atoms and distances in Å follow each position.
Sites, in units of the cell vectors:
Pm 0.0000 0.0000 0.2342  4 Al 3.22, 4 Pm 3.41, 4 Hf 3.42
Pm 0.0000 0.0000 0.7658  4 Al 3.22, 4 Pm 3.41, 4 Hf 3.42
Hf 0.5000 0.5000 0.5000  4 Hf 3.41, 8 Pm 3.42
Al 0.5000 0.5000 0.0000  8 Pm 3.22, 4 Al 3.41

=====

VASP calculation (PBE) on an optimized crystal structure of Be2Fe3C.

Calculated values
Space-group type   No. 213

Cell: 6.0535 6.0535 6.0535 Å, 90.00 90.00 90.00°
Closest atoms and distances in Å follow each position.
Sites, in units of the cell vectors:
Be 0.0692 0.0692 0.0692  3 Be 2.24, 3 Fe 2.43
Be 0.1808 0.8192 0.3192  3 Be 2.24, 3 Fe 2.43
Be 0.3192 0.1808 0.8192  3 Be 2.24, 3 Fe 2.43
Be 0.4308 0.9308 0.5692  3 Be 2.24, 3 Fe 2.43
Be 0.5692 0.4308 0.9308  3 Be 2.24, 3 Fe 2.43
Be 0.6808 0.6808 0.6808  3 Be 2.24, 3 Fe 2.43
Be 0.8192 0.3192 0.1808  3 Be 2.24, 3 Fe 2.43
Be 0.9308 0.5692 0.4308  3 Be 2.24, 3 Fe 2.43
Fe 0.0534 0.8750 0.6966  2 C 1.91
Fe 0.1250 0.1966 0.4466  2 C 1.91
Fe 0.1966 0.4466 0.1250  2 C 1.91
Fe 0.3034 0.5534 0.6250  2 C 1.91
Fe 0.3750 0.8034 0.9466  2 C 1.91
Fe 0.4466 0.1250 0.1966  2 C 1.91
Fe 0.5534 0.6250 0.3034  2 C 1.91
Fe 0.6250 0.3034 0.5534  2 C 1.91
Fe 0.6966 0.0534 0.8750  2 C 1.91
Fe 0.8034 0.9466 0.3750  2 C 1.91
Fe 0.8750 0.6966 0.0534  2 C 1.91
Fe 0.9466 0.3750 0.8034  2 C 1.91
C 0.1250 0.6250 0.8750  6 Fe 1.91
C 0.3750 0.3750 0.3750  6 Fe 1.91
C 0.6250 0.8750 0.1250  6 Fe 1.91
C 0.8750 0.1250 0.6250  6 Fe 1.91

=====

| no. | calculated total energy (eV/atom) | ΔE_f (eV/atom) |
| --- | --- | --- |
| 1 | -3.24 | 0.33 |
| 2 | -4.98 | -0.70 |
| 3 | -5.83 | -0.03 |
| 4 | -7.12 | -0.11 |